Density functional theory data (PBE) for Re3Rh after structural relaxation.

a = 4.929 Å, b = 4.929 Å, c = 4.929 Å
α = 90.00°, β = 90.00°, γ = 90.00°
Sites, in units of the cell vectors:
1 Re 0.000 0.250 0.500
2 Re 0.000 0.750 0.500
3 Re 0.250 0.500 0.000
4 Re 0.500 0.000 0.250
5 Re 0.500 0.000 0.750
6 Re 0.750 0.500 0.000
7 Rh 0.000 0.000 0.000
8 Rh 0.500 0.500 0.500

Summary:
Crystal system ... cubic
E_form ... 0.1540 eV/atom
Symmetry ... Pm-3n, No. 223
M_tot ... 0.0 μB per formula unit
Calculated density ... 18350 kg/m³
Final energy ... -88.159 eV/cell
D(E_F) ... 0.6682 states/eV/atom

***

Density functional theory data (PBE) for Re3Rh after structural relaxation.

a = 3.891 Å, b = 3.891 Å, c = 3.891 Å
α = 90.00°, β = 90.00°, γ = 90.00°
Sites, in units of the cell vectors:
1 Re 0.000 0.000 0.500
2 Re 0.000 0.500 0.000
3 Re 0.500 0.000 0.000
4 Rh 0.500 0.500 0.500

Summary:
Crystal system ... cubic
E_form ... -0.0382 eV/atom
Symmetry ... Pm-3m, No. 221
M_tot ... 0.0 μB per formula unit
Calculated density ... 18647 kg/m³
Final energy ... -44.848 eV/cell
D(E_F) ... 0.9473 states/eV/atom

***

Density functional theory data (PBE) for ReRh3 after structural relaxation.

a = 9.010 Å, b = 9.010 Å, c = 9.010 Å
α = 17.50°, β = 17.50°, γ = 17.50°
Site moments in Bohr magnetons follow the coordinates.
Sites, in units of the cell vectors:
1 Re 0.000 0.000 0.000  -0.03
2 Rh 0.252 0.252 0.252  0.06
3 Rh 0.500 0.500 0.500  0.42
4 Rh 0.748 0.748 0.748  0.06

Summary:
Crystal system ... trigonal
E_form ... -0.0142 eV/atom
Symmetry ... R-3m, No. 166
M_tot ... 0.5 μB per formula unit
Calculated density ... 14242 kg/m³
Final energy ... -34.559 eV/cell
D(E_F) ... 1.2973 states/eV/atom